# 1
The following is a PBE-GGA calculation of an optimized crystal structure of InAgOs, from the Alexandria database.

Results
Total magnetic moment in μB/cell: 0.0
Energy relative to the lowest polymorph listed for this composition in meV/atom: 17
Space group: Imm2 (44)
Volume in Å³ per cell: 53
Calculated total energy in eV/atom: -4.99
N(E_F) in states/eV per atom: 0.68
E_form in meV/atom: 614

a b c (Å): 5.0832 5.0832 5.0832
angles (deg): 148.03 130.35 60.28
Last column: nearest neighbours and their distance in Å.
Fractional coordinates of all 3 atoms:
Os  0.3320  0.3320  0.0000  2 Os 2.80, 5 In 2.92-2.98, 5 Ag 2.94-2.95
Ag  0.9969  0.9969  0.0000  2 Ag 2.80, 5 In 2.86-2.98, 5 Os 2.94-2.95
In  0.6711  0.6711  0.0000  2 In 2.80, 5 Ag 2.86-2.98, 5 Os 2.92-2.98

***

# 2
The following is a PBE-GGA calculation of an optimized crystal structure of CaBrCl2, from the Alexandria database.

Results
Total magnetic moment in μB/cell: 2.0
Energy relative to the lowest polymorph listed for this composition in meV/atom: 191
Space group: I-42d (122)
Volume in Å³ per cell: 277
Calculated total energy in eV/atom: -3.29
N(E_F) in states/eV per atom: 0.91

a b c (Å): 9.6376 9.6376 7.4401
angles (deg): 49.63 49.63 90.00
Last column: nearest neighbours and their distance in Å.
Fractional coordinates of all 8 atoms:
Ca  0.5000  0.5000  0.0000  4 Cl 2.71, 2 Br 2.99
Ca  0.2500  0.7500  0.5000  4 Cl 2.71, 2 Br 2.99
Br  0.0000  0.0000  0.0000  2 Ca 2.99
Br  0.7500  0.2500  0.5000  2 Ca 2.99
Cl  0.4779  0.1250  0.2500  2 Ca 2.71
Cl  0.2721  0.6250  0.2500  2 Ca 2.71
Cl  0.3750  0.5221  0.7500  2 Ca 2.71
Cl  0.8750  0.7279  0.7500  2 Ca 2.71

***

- Which of these has the lowest N(E_F)?
  InAgOs